Density functional theory data (PBE) for an optimized crystal structure of MgTlCdIr2.

## Properties
volume: 124.9 Å³/f.u.
E: -15.71 eV for the cell shown
formation energy from the elements: 1.3784 eV per atom
symmetry: P4/mmm (123)
crystal system: tetragonal
total magnetization: 0.0000 μB/atom
DOS(E_F): 2.2 states/eV/f.u.

a b c (Å): 5.022 5.022 4.954
angles (deg): 90.00 90.00 90.00
Sites, in units of the cell vectors:
Mg (0.000, 0.000, 0.000)
Tl (0.000, 0.000, 0.500)
Cd (0.500, 0.500, 0.000)
Ir (0.000, 0.500, 0.500)
Ir (0.500, 0.000, 0.500)